## w
Entry from Alexandria: a geometry-optimized AcPm2Ge6 structure (PBE).

For the volume, the calculation gives 25.67 Å³/atom. Its space-group type is Immm.

Cell lengths 4.127, 8.112, 8.112 Å; angles 63.02, 75.26, 75.26 degrees
Atoms (fractional coordinates):
Ge 0.689 0.582 0.040
Ac 0.000 0.000 0.000
Pm 0.136 0.364 0.364
Ge 0.500 0.311 0.689
Ge 0.500 0.689 0.311
Ge 0.311 0.418 0.960
Ge 0.689 0.040 0.582
Pm 0.864 0.636 0.636
Ge 0.311 0.960 0.418

***

## x
Entry from Alexandria: a geometry-optimized AcPm2Ge6 structure (PBE).

For the volume, the calculation gives 24.08 Å³/atom. Its space-group type is P6/mmm.

Cell lengths 4.126, 7.788, 7.788 Å; angles 120.00, 90.00, 90.00 degrees
Atoms (fractional coordinates):
Pm 0.000 0.667 0.333
Ge 0.500 0.340 0.340
Ge 0.500 0.660 0.000
Ge 0.500 0.000 0.660
Ge 0.500 0.340 0.000
Ge 0.500 0.000 0.340
Ac 0.000 0.000 0.000
Pm 0.000 0.333 0.667
Ge 0.500 0.660 0.660

***

Least stable: w

***

## w
Entry from Alexandria: a geometry-optimized Ac2Pm3Ge4 structure (PBE).

For the volume, the calculation gives 28.40 Å³/atom. Its space-group type is P2_1/c.

Cell lengths 7.997, 8.125, 8.252 Å; angles 90.00, 90.00, 107.54 degrees
Atoms (fractional coordinates):
Pm 0.241 0.752 0.173
Ge 0.637 0.506 0.632
Ac 0.577 0.197 0.325
Ge 0.375 0.082 0.964
Ge 0.137 0.506 0.868
Ge 0.363 0.494 0.368
Ac 0.423 0.803 0.675
Pm 0.741 0.752 0.327
Ge 0.863 0.494 0.132
Pm 0.000 0.500 0.500
Pm 0.259 0.248 0.673
Ge 0.125 0.918 0.464
Pm 0.500 0.500 0.000
Ac 0.923 0.803 0.825
Ge 0.875 0.082 0.536
Pm 0.759 0.248 0.827
Ac 0.077 0.197 0.175
Ge 0.625 0.918 0.036

***

## x
Entry from Alexandria: a geometry-optimized Ac2Pm3Ge4 structure (PBE).

For the volume, the calculation gives 29.29 Å³/atom. Its space-group type is Cmce.

Cell lengths 7.313, 8.558, 9.184 Å; angles 90.00, 113.46, 90.00 degrees
Atoms (fractional coordinates):
Pm 0.500 0.500 0.000
Ge 0.218 0.750 0.936
Pm 0.544 0.750 0.588
Pm 0.956 0.250 0.412
Ac 0.108 0.588 0.215
Ge 0.718 0.750 0.936
Ge 0.309 0.446 0.618
Ge 0.691 0.554 0.382
Ge 0.782 0.250 0.064
Ac 0.892 0.412 0.785
Ge 0.809 0.054 0.618
Ac 0.392 0.088 0.785
Ac 0.608 0.912 0.215
Pm 0.456 0.250 0.412
Pm 0.044 0.750 0.588
Pm 0.000 0.000 0.000
Ge 0.191 0.946 0.382
Ge 0.282 0.250 0.064

***

Least stable: x

***

## w
Entry from Alexandria: a geometry-optimized Ac2PrGe2 structure (PBE).

For the volume, the calculation gives 31.23 Å³/atom. Its space-group type is P4/mbm.

Cell lengths 4.697, 8.155, 8.155 Å; angles 90.00, 90.00, 90.00 degrees
Atoms (fractional coordinates):
Ge 0.500 0.118 0.882
Pr 0.500 0.000 0.500
Ac 0.000 0.675 0.325
Pr 0.500 0.500 0.000
Ge 0.500 0.618 0.618
Ac 0.000 0.175 0.175
Ge 0.500 0.382 0.382
Ge 0.500 0.882 0.118
Ac 0.000 0.325 0.675
Ac 0.000 0.825 0.825

***

## x
Entry from Alexandria: a geometry-optimized Ac2PrGe2 structure (PBE).

For the volume, the calculation gives 31.79 Å³/atom. Its space-group type is C2/m.

Cell lengths 4.640, 7.032, 10.667 Å; angles 78.78, 77.44, 70.74 degrees
Atoms (fractional coordinates):
Ge 0.888 0.668 0.555
Ge 0.992 0.124 0.891
Ac 0.679 0.731 0.912
Ac 0.485 0.341 0.689
Ac 0.321 0.269 0.088
Pr 0.774 0.085 0.367
Ge 0.008 0.876 0.109
Ge 0.112 0.332 0.445
Ac 0.515 0.659 0.311
Pr 0.226 0.915 0.633

***

Least stable: x

***

## w
Entry from Alexandria: a geometry-optimized AcPrGe structure (PBE).

For the volume, the calculation gives 34.19 Å³/atom. Its space-group type is F-43m.

Cell lengths 5.254, 5.254, 5.254 Å; angles 60.00, 60.00, 60.00 degrees
Atoms (fractional coordinates):
Ge 0.250 0.250 0.250
Ac 0.000 0.000 0.000
Pr 0.500 0.500 0.500

***

## x
Entry from Alexandria: a geometry-optimized AcPrGe structure (PBE).

For the volume, the calculation gives 33.16 Å³/atom. Its space-group type is P3m1.

Cell lengths 4.684, 4.952, 4.952 Å; angles 120.00, 90.00, 90.00 degrees
Atoms (fractional coordinates):
Pr 0.559 0.667 0.333
Ac 0.031 0.000 0.000
Ge 0.410 0.333 0.667

***

## y
Entry from Alexandria: a geometry-optimized AcPrGe structure (PBE).

For the volume, the calculation gives 37.72 Å³/atom. Its space-group type is P4_2/mmc.

Cell lengths 6.064, 8.639, 8.639 Å; angles 90.00, 90.00, 90.00 degrees
Atoms (fractional coordinates):
Ac 0.000 0.756 0.000
Ge 0.500 0.250 0.500
Ac 0.000 0.244 0.000
Ac 0.500 0.000 0.756
Pr 0.500 0.500 0.257
Ge 0.500 0.750 0.500
Ge 0.000 0.500 0.750
Pr 0.000 0.743 0.500
Pr 0.000 0.257 0.500
Ac 0.500 0.000 0.244
Pr 0.500 0.500 0.743
Ge 0.000 0.500 0.250

***

## z
Entry from Alexandria: a geometry-optimized AcPrGe structure (PBE).

For the volume, the calculation gives 32.81 Å³/atom. Its space-group type is P-1.

Cell lengths 4.394, 6.513, 7.703 Å; angles 77.12, 73.36, 70.24 degrees
Atoms (fractional coordinates):
Pr 0.483 0.970 0.942
Ac 0.241 0.902 0.491
Ge 0.184 0.590 0.919
Ac 0.895 0.439 0.651
Pr 0.653 0.371 0.200
Ge 0.952 0.751 0.223

***

Least stable: x

***

## w
Entry from Alexandria: a geometry-optimized AcPr2Ge2 structure (PBE).

For the volume, the calculation gives 29.00 Å³/atom. Its space-group type is P4/mbm.

Cell lengths 4.362, 8.154, 8.154 Å; angles 90.00, 90.00, 90.00 degrees
Atoms (fractional coordinates):
Pr 0.500 0.172 0.672
Ac 0.000 0.000 0.000
Pr 0.500 0.672 0.828
Ge 0.000 0.115 0.385
Pr 0.500 0.328 0.172
Ge 0.000 0.615 0.115
Pr 0.500 0.828 0.328
Ge 0.000 0.885 0.615
Ac 0.000 0.500 0.500
Ge 0.000 0.385 0.885

***

## x
Entry from Alexandria: a geometry-optimized AcPr2Ge2 structure (PBE).

For the volume, the calculation gives 29.91 Å³/atom. Its space-group type is C2/m.

Cell lengths 3.989, 6.055, 6.635 Å; angles 101.29, 107.49, 90.00 degrees
Atoms (fractional coordinates):
Ge 0.284 0.893 0.567
Pr 0.639 0.563 0.279
Ge 0.716 0.107 0.433
Ac 0.000 0.000 0.000
Pr 0.361 0.437 0.721

***

Least stable: x

***

## w
Entry from Alexandria: a geometry-optimized Ac3PrGe2 structure (PBE).

For the volume, the calculation gives 33.59 Å³/atom. Its space-group type is Immm.

Cell lengths 4.750, 4.880, 9.337 Å; angles 105.17, 104.73, 90.00 degrees
Atoms (fractional coordinates):
Ge 0.369 0.869 0.738
Ac 0.500 0.500 0.000
Ac 0.182 0.682 0.365
Ac 0.818 0.318 0.635
Pr 0.000 0.000 0.000
Ge 0.631 0.131 0.262

***

## x
Entry from Alexandria: a geometry-optimized Ac3PrGe2 structure (PBE).

For the volume, the calculation gives 36.54 Å³/atom. Its space-group type is R-3c.

Cell lengths 8.558, 8.558, 8.558 Å; angles 59.53, 59.53, 59.53 degrees
Atoms (fractional coordinates):
Ac 0.971 0.250 0.529
Pr 0.500 0.500 0.500
Pr 0.000 0.000 0.000
Ac 0.471 0.029 0.750
Ac 0.029 0.750 0.471
Ac 0.529 0.971 0.250
Ge 0.356 0.356 0.356
Ge 0.144 0.144 0.144
Ac 0.750 0.471 0.029
Ge 0.856 0.856 0.856
Ac 0.250 0.529 0.971
Ge 0.644 0.644 0.644

***

Least stable: x